This record from Alexandria via LeMat-Bulk describes an optimized crystal structure of Sm7Al7Co6. The functional is PBE.

Properties
Magnetization   0.0 Bohr magnetons per cell
Formation enthalpy at 0 K   -420 meV per atom

Cell lengths 13.664, 13.664, 4.165 Å; angles 90.00, 90.00, 90.00 degrees
Space group P4/mbm (No. 127)
Symmetry-distinct sites (fractional):
Sm (0.000, 0.000, 0.000) x2
Sm (0.048, 0.262, 0.000) x8
Sm (0.130, 0.630, 0.500) x4
Al (0.000, 0.500, 0.000) x2
Al (0.096, 0.862, 0.500) x8
Al (0.215, 0.285, 0.500) x4
Co (0.075, 0.425, 0.500) x4
Co (0.162, 0.788, 0.000) x8